## Sm4Ga3 (GGA-PBE)

Data for a relaxed Sm4Ga3 crystal.

Formation energy from the elements ... -0.4498 eV/atom
Magnetization ... 0.0000 μB per atom
DFT total energy ... -4.4437 eV/atom
Space-group type ... I-43d, No. 220

```
Sm4Ga3
1.0
0.151 -5.028 -6.043
-0.676 -4.010 6.729
-6.133 4.857 -0.784
Ga Sm
6 8
direct
0.750 0.625 0.375 Ga
0.250 0.875 0.125 Ga
0.125 0.375 0.250 Ga
0.875 0.250 0.625 Ga
0.375 0.125 0.750 Ga
0.625 0.750 0.875 Ga
0.500 0.855 0.500 Sm
0.000 0.000 0.855 Sm
0.855 0.500 0.000 Sm
0.500 0.355 0.500 Sm
0.145 0.645 0.645 Sm
0.645 0.145 0.145 Sm
0.355 0.500 0.000 Sm
0.000 0.000 0.355 Sm
```



## UNi6Rh (GGA-PBE)

Data for a relaxed UNi6Rh crystal.

Formation energy from the elements ... -0.1728 eV/atom
Magnetization ... 0.0000 μB per atom
DFT total energy ... -6.8387 eV/atom
Space-group type ... Fmmm, No. 69

```
UNi6Rh
1.0
-0.859 -0.753 -4.125
-1.046 -3.624 2.022
-4.423 4.163 1.810
Rh Ni U
1 6 1
direct
0.000 0.000 0.000 Rh
0.245 0.245 0.491 Ni
0.359 0.859 0.717 Ni
0.859 0.359 0.717 Ni
0.141 0.641 0.283 Ni
0.641 0.141 0.283 Ni
0.755 0.755 0.509 Ni
0.500 0.500 0.000 U
```



## ScCd4Ir (GGA-PBE)

Data for a relaxed ScCd4Ir crystal.

Formation energy from the elements ... 0.0295 eV/atom
Magnetization ... 0.0000 μB per atom
DFT total energy ... -3.1126 eV/atom
Space-group type ... F-43m, No. 216

```
ScCd4Ir
1.0
0.000 3.893 3.893
3.893 0.000 3.893
3.893 3.893 0.000
Sc Cd Ir
1 4 1
direct
0.000 0.000 0.000 Sc
0.375 0.874 0.375 Cd
0.375 0.375 0.874 Cd
0.375 0.375 0.375 Cd
0.874 0.375 0.375 Cd
0.750 0.750 0.750 Ir
```



## ReCl2 (GGA-PBE)

Data for a relaxed ReCl2 crystal.

Excess energy over the best structure of this formula in the dataset ... 0.0 kJ per mole of atoms
Magnetization ... 0.0000 μB per atom
DFT total energy ... -5.6333 eV/atom
Raw formation energy ... -0.253 eV/atom
Space-group type ... C2/m, No. 12

```
ReCl2
1.0
1.790 6.690 -0.011
-1.790 6.690 -0.011
0.000 3.088 7.150
Cl Re
4 2
direct
0.346 0.346 0.756 Cl
0.654 0.654 0.244 Cl
0.585 0.585 0.696 Cl
0.415 0.415 0.304 Cl
0.976 0.976 0.656 Re
0.024 0.024 0.344 Re
```



Which value of DFT total energy does entry 1 give? -4.4437 eV/atom